La2SmTm3 | Alexandria via LeMat-Bulk | PBE-GGA | optimized geometry; ΔH_f (0 K) = 0.142 eV per atom; distance to the lowest polymorph of the same formula = 0 meV/atom
1.0
8.304 -3.531 0.000
8.304 3.531 0.000
-1.522 0.000 6.940
La Sm Tm
4 2 6
Direct
0.172 0.183 0.089
0.183 0.172 0.589
0.817 0.828 0.411
0.828 0.817 0.911
0.230 0.770 0.250
0.770 0.230 0.750
0.229 0.771 0.750
0.364 0.372 0.435
0.372 0.364 0.935
0.628 0.636 0.065
0.636 0.628 0.565
0.771 0.229 0.250

=====

LaSmTm6 | Alexandria via LeMat-Bulk | PBE-GGA | optimized geometry; ΔH_f (0 K) = 0.374 eV per atom; distance to the lowest polymorph of the same formula = 0 meV/atom
1.0
10.405 0.000 0.000
0.000 6.580 0.000
-2.234 0.000 8.145
La Sm Tm
2 2 12
Direct
0.000 0.000 0.000
0.500 0.500 0.000
0.000 0.000 0.500
0.500 0.500 0.500
0.121 0.500 0.419
0.199 0.258 0.797
0.199 0.742 0.797
0.301 0.242 0.203
0.301 0.758 0.203
0.379 0.000 0.581
0.621 0.000 0.419
0.699 0.242 0.797
0.699 0.758 0.797
0.801 0.258 0.203
0.801 0.742 0.203
0.879 0.500 0.581

=====

La6Sm5Tm | Alexandria via LeMat-Bulk | PBE-GGA | optimized geometry; ΔH_f (0 K) = 0.020 eV per atom; distance to the lowest polymorph of the same formula = 2 meV/atom
1.0
6.317 0.000 0.000
-0.008 7.407 0.000
-0.183 -3.703 8.996
La Sm Tm
6 5 1
Direct
0.000 0.248 0.000
0.000 0.752 0.000
0.335 0.083 0.668
0.335 0.585 0.668
0.665 0.415 0.332
0.665 0.917 0.332
0.165 0.667 0.334
0.167 0.166 0.332
0.500 0.500 0.000
0.833 0.834 0.668
0.835 0.333 0.666
0.500 0.000 0.000

=====

LaSm2Tm6 | Alexandria via LeMat-Bulk | PBE-GGA | optimized geometry; ΔH_f (0 K) = 0.074 eV per atom; distance to the lowest polymorph of the same formula = 0 meV/atom
1.0
9.689 0.000 0.000
-4.844 8.391 0.000
0.000 0.000 3.517
La Sm Tm
1 2 6
Direct
0.000 0.000 0.000
0.333 0.667 0.763
0.667 0.333 0.237
0.023 0.669 0.268
0.331 0.354 0.268
0.354 0.023 0.732
0.646 0.977 0.268
0.669 0.646 0.732
0.977 0.331 0.732

=====

LaSmTm2 | Alexandria via LeMat-Bulk | PBE-GGA | optimized geometry; ΔH_f (0 K) = 0.022 eV per atom; distance to the lowest polymorph of the same formula = 3 meV/atom
1.0
3.609 0.000 0.000
-1.805 3.126 0.000
0.000 0.000 34.725
La Sm Tm
3 3 6
Direct
0.000 0.000 0.000
0.333 0.667 0.667
0.667 0.333 0.333
0.000 0.000 0.166
0.333 0.667 0.833
0.667 0.333 0.499
0.000 0.000 0.417
0.000 0.000 0.582
0.333 0.667 0.084
0.333 0.667 0.249
0.667 0.333 0.751
0.667 0.333 0.916

=====

La4SmY2Tm2 | Alexandria via LeMat-Bulk | PBE-GGA | optimized geometry; ΔH_f (0 K) = 0.030 eV per atom
1.0
7.708 -2.584 0.000
7.708 2.584 0.000
-2.509 0.000 7.692
La Sm Y Tm
4 1 2 2
Direct
0.055 0.055 0.328
0.277 0.277 0.669
0.723 0.723 0.331
0.945 0.945 0.672
0.500 0.500 0.000
0.388 0.388 0.329
0.612 0.612 0.671
0.169 0.169 0.000
0.831 0.831 0.000

=====

LaSmYTm3 | Alexandria via LeMat-Bulk | PBE-GGA | optimized geometry; ΔH_f (0 K) = 0.108 eV per atom
1.0
2.902 -5.804 0.000
2.902 5.804 0.000
0.000 0.000 11.605
La Sm Y Tm
2 2 2 6
Direct
0.007 0.993 0.750
0.993 0.007 0.250
0.500 0.500 0.000
0.500 0.500 0.500
0.325 0.675 0.750
0.675 0.325 0.250
0.176 0.824 0.006
0.176 0.824 0.494
0.332 0.668 0.250
0.668 0.332 0.750
0.824 0.176 0.506
0.824 0.176 0.994

=====

La2Sm6YTm3 | Alexandria via LeMat-Bulk | PBE-GGA | optimized geometry; ΔH_f (0 K) = 0.024 eV per atom
1.0
3.129 -5.421 0.000
3.129 5.421 0.000
-2.088 0.000 11.759
La Sm Y Tm
2 6 1 3
Direct
0.166 0.834 0.000
0.834 0.166 0.000
0.082 0.414 0.744
0.253 0.253 0.257
0.414 0.082 0.744
0.586 0.918 0.256
0.747 0.747 0.743
0.918 0.586 0.256
0.500 0.500 0.000
0.000 0.000 0.500
0.334 0.666 0.500
0.666 0.334 0.500

=====

La2Sm2YTm | Alexandria via LeMat-Bulk | PBE-GGA | optimized geometry; ΔH_f (0 K) = 0.056 eV per atom
1.0
5.722 0.000 0.000
0.000 9.952 0.000
0.000 0.000 7.125
La Sm Y Tm
4 4 2 2
Direct
0.000 0.001 0.000
0.000 0.999 0.500
0.500 0.175 0.250
0.500 0.825 0.750
0.000 0.333 0.250
0.000 0.667 0.750
0.500 0.166 0.750
0.500 0.834 0.250
0.500 0.500 0.000
0.500 0.500 0.500
0.000 0.342 0.750
0.000 0.658 0.250

=====

LaSm2YTm2 | Alexandria via LeMat-Bulk | PBE-GGA | optimized geometry; ΔH_f (0 K) = 0.064 eV per atom
1.0
7.021 0.000 0.000
0.000 9.871 0.000
0.000 0.000 5.661
La Sm Y Tm
2 4 2 4
Direct
0.000 0.000 0.000
0.500 0.500 0.500
0.247 0.333 0.000
0.253 0.833 0.500
0.747 0.167 0.500
0.753 0.667 0.000
0.000 0.500 0.500
0.500 0.000 0.000
0.250 0.167 0.500
0.250 0.667 0.000
0.750 0.333 0.000
0.750 0.833 0.500

=====

LaSm2YTm | Alexandria via LeMat-Bulk | PBE-GGA | optimized geometry; ΔH_f (0 K) = 0.279 eV per atom
1.0
3.670 0.000 0.000
0.000 5.628 0.000
-0.017 0.000 8.622
La Sm Y Tm
1 2 1 1
Direct
0.000 0.000 0.000
0.001 0.500 0.323
0.999 0.500 0.677
0.500 0.500 0.000
0.500 0.000 0.500

=====

La6SmY2Tm | Alexandria via LeMat-Bulk | PBE-GGA | optimized geometry; ΔH_f (0 K) = 0.196 eV per atom
1.0
5.736 -3.537 0.000
5.736 3.537 0.000
-2.322 0.000 8.794
La Sm Y Tm
6 1 2 1
Direct
0.093 0.536 0.194
0.134 0.134 0.429
0.464 0.907 0.806
0.536 0.093 0.194
0.866 0.866 0.571
0.907 0.464 0.806
0.500 0.500 0.500
0.416 0.416 0.833
0.584 0.584 0.167
0.000 0.000 0.000

=====

LaSm2Y2Tm2 | Alexandria via LeMat-Bulk | PBE-GGA | optimized geometry; ΔH_f (0 K) = 0.149 eV per atom
1.0
17.759 0.000 0.000
0.000 3.504 0.000
-3.807 0.000 7.546
La Sm Y Tm
2 4 4 4
Direct
0.000 0.000 0.000
0.500 0.500 0.000
0.149 0.500 0.889
0.351 0.000 0.111
0.649 0.000 0.889
0.851 0.500 0.111
0.072 0.500 0.409
0.428 0.000 0.591
0.572 0.000 0.409
0.928 0.500 0.591
0.212 0.000 0.301
0.288 0.500 0.699
0.712 0.500 0.301
0.788 0.000 0.699

=====

LaSm6YTm2 | Alexandria via LeMat-Bulk | PBE-GGA | optimized geometry; ΔH_f (0 K) = 0.117 eV per atom
1.0
4.609 -7.606 0.000
4.609 7.606 0.000
-1.316 0.000 9.622
La Sm Y Tm
2 12 2 4
Direct
0.094 0.906 0.750
0.906 0.094 0.250
0.007 0.794 0.379
0.067 0.523 0.181
0.206 0.993 0.121
0.258 0.614 0.555
0.386 0.742 0.945
0.477 0.933 0.319
0.523 0.067 0.681
0.614 0.258 0.055
0.742 0.386 0.445
0.794 0.007 0.879
0.933 0.477 0.819
0.993 0.206 0.621
0.471 0.529 0.250
0.529 0.471 0.750
0.205 0.305 0.955
0.305 0.205 0.455
0.695 0.795 0.545
0.795 0.695 0.045

=====

La2SmY6Tm | Alexandria via LeMat-Bulk | PBE-GGA | optimized geometry; ΔH_f (0 K) = 0.114 eV per atom
1.0
4.555 -7.497 0.000
4.555 7.497 0.000
-1.887 0.000 9.774
La Sm Y Tm
4 2 12 2
Direct
0.194 0.287 0.045
0.287 0.194 0.545
0.713 0.806 0.455
0.806 0.713 0.955
0.013 0.987 0.250
0.987 0.013 0.750
0.018 0.578 0.188
0.118 0.736 0.557
0.264 0.882 0.943
0.302 0.510 0.383
0.422 0.982 0.312
0.490 0.698 0.117
0.510 0.302 0.883
0.578 0.018 0.688
0.698 0.490 0.617
0.736 0.118 0.057
0.882 0.264 0.443
0.982 0.422 0.812
0.404 0.596 0.750
0.596 0.404 0.250

=====

LaSm5Y2Tm | Alexandria via LeMat-Bulk | PBE-GGA | optimized geometry; ΔH_f (0 K) = 0.302 eV per atom
1.0
-4.684 4.684 7.094
4.684 -4.684 7.094
4.684 4.684 -7.094
La Sm Y Tm
2 10 4 2
Direct
0.250 0.250 0.000
0.750 0.750 0.000
0.000 0.000 0.000
0.071 0.571 0.906
0.166 0.071 0.500
0.334 0.834 0.906
0.429 0.334 0.500
0.500 0.500 0.000
0.571 0.666 0.500
0.666 0.166 0.094
0.834 0.929 0.500
0.929 0.429 0.094
0.110 0.390 0.500
0.390 0.890 0.281
0.610 0.110 0.719
0.890 0.610 0.500
0.250 0.750 0.500
0.750 0.250 0.500

=====

La6Sm2YTm | Alexandria via LeMat-Bulk | PBE-GGA | optimized geometry; ΔH_f (0 K) = 0.115 eV per atom
1.0
4.932 -7.667 0.000
4.932 7.667 0.000
-0.209 0.000 9.290
La Sm Y Tm
12 4 2 2
Direct
0.037 0.475 0.680
0.068 0.782 0.902
0.218 0.932 0.598
0.276 0.575 0.089
0.425 0.724 0.411
0.475 0.037 0.180
0.525 0.963 0.820
0.575 0.276 0.589
0.724 0.425 0.911
0.782 0.068 0.402
0.932 0.218 0.098
0.963 0.525 0.320
0.207 0.297 0.437
0.297 0.207 0.937
0.703 0.793 0.063
0.793 0.703 0.563
0.073 0.927 0.250
0.927 0.073 0.750
0.437 0.563 0.750
0.563 0.437 0.250

=====

LaSmYTm | Alexandria via LeMat-Bulk | PBE-GGA | optimized geometry; ΔH_f (0 K) = 0.094 eV per atom; distance to the lowest polymorph of the same formula = 0 meV/atom
1.0
8.140 0.000 0.000
0.000 8.140 0.000
0.000 0.000 8.140
La Sm Y Tm
4 4 4 4
Direct
0.000 0.000 0.000
0.000 0.500 0.500
0.500 0.000 0.500
0.500 0.500 0.000
0.000 0.000 0.500
0.000 0.500 0.000
0.500 0.000 0.000
0.500 0.500 0.500
0.250 0.250 0.250
0.250 0.750 0.750
0.750 0.250 0.750
0.750 0.750 0.250
0.250 0.250 0.750
0.250 0.750 0.250
0.750 0.250 0.250
0.750 0.750 0.750

=====

LaSm6Y2Tm3 | Alexandria via LeMat-Bulk | PBE-GGA | optimized geometry; ΔH_f (0 K) = 0.022 eV per atom
1.0
3.116 -5.398 0.000
3.116 5.398 0.000
-2.076 0.000 11.694
La Sm Y Tm
1 6 2 3
Direct
0.000 0.000 0.000
0.085 0.419 0.255
0.249 0.249 0.745
0.419 0.085 0.255
0.581 0.915 0.745
0.751 0.751 0.255
0.915 0.581 0.745
0.333 0.667 0.000
0.667 0.333 0.000
0.167 0.833 0.500
0.500 0.500 0.500
0.833 0.167 0.500

=====

La2Sm6Y3Tm | Alexandria via LeMat-Bulk | PBE-GGA | optimized geometry; ΔH_f (0 K) = 0.020 eV per atom
1.0
3.139 -5.438 0.000
3.139 5.438 0.000
-2.097 0.000 11.822
La Sm Y Tm
2 6 3 1
Direct
0.167 0.833 0.000
0.833 0.167 0.000
0.084 0.416 0.747
0.253 0.253 0.253
0.416 0.084 0.747
0.584 0.916 0.253
0.747 0.747 0.747
0.916 0.584 0.253
0.000 0.000 0.500
0.334 0.666 0.500
0.666 0.334 0.500
0.500 0.500 0.000

=====

La2SmY2Tm | Alexandria via LeMat-Bulk | PBE-GGA | optimized geometry; ΔH_f (0 K) = 0.106 eV per atom
1.0
6.184 0.000 0.000
0.000 18.515 0.000
0.000 0.000 3.600
La Sm Y Tm
4 2 4 2
Direct
0.167 0.154 0.000
0.333 0.654 0.500
0.667 0.346 0.500
0.833 0.846 0.000
0.000 0.500 0.500
0.500 0.000 0.000
0.163 0.343 0.000
0.337 0.843 0.500
0.663 0.157 0.500
0.837 0.657 0.000
0.000 0.000 0.500
0.500 0.500 0.000

=====

no.,total magnetization (μB/f.u.)
1,0.0
2,0.0
3,0.0
4,0.0
5,0.0
6,0.0
7,0.0
8,0.0
9,0.0
10,0.0
11,0.0
12,0.0
13,0.0
14,0.0
15,0.0
16,0.0
17,0.0
18,0.0
19,0.0
20,0.0
21,0.0